MnTc2O6: relaxed, PBE+U.

Cell lengths 8.7139, 8.7139, 4.4882 Å; angles 90.00, 90.00, 120.00 degrees
With the nearest neighbours (Å) after each atom.
Fractional coordinates of all 27 atoms:
Mn  0.0000  0.0000  0.0000  6 O 2.11
Mn  0.3333  0.6667  0.5012  6 O 2.12-2.13
Mn  0.6667  0.3333  0.4988  6 O 2.12-2.13
Tc  0.0000  0.3207  0.5000  6 O 1.93-2.00
Tc  0.0000  0.6544  0.0000  6 O 1.94-2.01
Tc  0.3207  0.0000  0.5000  6 O 1.93-2.00
Tc  0.3456  0.3456  0.0000  6 O 1.94-2.01
Tc  0.6544  0.0000  0.0000  6 O 1.94-2.01
Tc  0.6793  0.6793  0.5000  6 O 1.93-2.00
O  0.0938  0.5390  0.7494  2 Tc 1.94-2.00, 1 Mn 2.12
O  0.1157  0.8779  0.7548  2 Tc 1.93-2.01, 1 Mn 2.11
O  0.1221  0.2379  0.7548  2 Tc 1.93-2.01, 1 Mn 2.11
O  0.2082  0.7815  0.2534  2 Tc 1.95-1.99, 1 Mn 2.13
O  0.2185  0.4267  0.2534  2 Tc 1.95-1.99, 1 Mn 2.13
O  0.2379  0.1221  0.2452  2 Tc 1.93-2.01, 1 Mn 2.11
O  0.4267  0.2185  0.7466  2 Tc 1.95-1.99, 1 Mn 2.13
O  0.4451  0.9062  0.7494  2 Tc 1.94-2.00, 1 Mn 2.12
O  0.4610  0.5549  0.7494  2 Tc 1.94-2.00, 1 Mn 2.12
O  0.5390  0.0938  0.2506  2 Tc 1.94-2.00, 1 Mn 2.12
O  0.5549  0.4610  0.2506  2 Tc 1.94-2.00, 1 Mn 2.12
O  0.5733  0.7918  0.2534  2 Tc 1.95-1.99, 1 Mn 2.13
O  0.7621  0.8843  0.7548  2 Tc 1.93-2.01, 1 Mn 2.11
O  0.7815  0.2082  0.7466  2 Tc 1.95-1.99, 1 Mn 2.13
O  0.7918  0.5733  0.7466  2 Tc 1.95-1.99, 1 Mn 2.13
O  0.8779  0.1157  0.2452  2 Tc 1.93-2.01, 1 Mn 2.11
O  0.8843  0.7621  0.2452  2 Tc 1.93-2.01, 1 Mn 2.11
O  0.9062  0.4451  0.2506  2 Tc 1.94-2.00, 1 Mn 2.12

- calculated volume (Å³/f.u.) = 98
- magnetic moment (μB/f.u.) = 4.44
- E (eV/atom) = -7.855